1.
Below is a geometry-optimized Pm3ThN4 structure, with properties calculated at the GGA-PBE level.

```
data_Pm3ThN4
_cell_length_a 5.125
_cell_length_b 5.125
_cell_length_c 5.125
_cell_angle_alpha 90.00
_cell_angle_beta 90.00
_cell_angle_gamma 90.00
_space_group_name_H-M_alt 'P m -3 m'
_space_group_IT_number 221
_space_group_name_Hall '-P 4 2 3'
loop_
_atom_site_label
_atom_site_type_symbol
_atom_site_fract_x
_atom_site_fract_y
_atom_site_fract_z
Pm1 Pm 0.000 0.000 0.500
Th1 Th 0.500 0.500 0.500
N1 N 0.000 0.000 0.000
N2 N 0.000 0.500 0.500
```

Calculated density: 8.92 g cm⁻³
Size of the total moment: 0.00 μB/atom
E: -67.0 eV for the cell shown
Crystal system: cubic

=====

2.
Below is a geometry-optimized LaSe2S2 structure, with properties calculated at the GGA-PBE level.

```
data_LaSe2S2
_cell_length_a 3.896
_cell_length_b 3.896
_cell_length_c 16.502
_cell_angle_alpha 90.00
_cell_angle_beta 90.00
_cell_angle_gamma 90.00
_space_group_name_H-M_alt 'I 4/m m m'
_space_group_IT_number 139
_space_group_name_Hall '-I 4 2'
loop_
_atom_site_label
_atom_site_type_symbol
_atom_site_fract_x
_atom_site_fract_y
_atom_site_fract_z
La1 La 0.000 0.000 0.000
Se1 Se 0.000 0.500 0.250
S1 S 0.000 0.000 0.435
```

Calculated density: 4.79 g cm⁻³
Size of the total moment: 0.00 μB/atom
E: -48.5 eV for the cell shown
Crystal system: tetragonal

=====

3.
Below is a geometry-optimized TbTmTh2 structure, with properties calculated at the GGA-PBE level.

```
data_TbTmTh2
_cell_length_a 5.012
_cell_length_b 5.012
_cell_length_c 5.050
_cell_angle_alpha 90.00
_cell_angle_beta 90.00
_cell_angle_gamma 90.00
_space_group_name_H-M_alt 'P 4/m m m'
_space_group_IT_number 123
_space_group_name_Hall '-P 4 2'
loop_
_atom_site_label
_atom_site_type_symbol
_atom_site_fract_x
_atom_site_fract_y
_atom_site_fract_z
Tb1 Tb 0.000 0.000 0.000
Tm1 Tm 0.500 0.500 0.000
Th1 Th 0.000 0.500 0.500
```

Calculated density: 10.37 g cm⁻³
Size of the total moment: 0.00 μB/atom
Crystal system: tetragonal
Formation enthalpy at 0 K: 0.043 eV/atom

=====

4.
Below is a geometry-optimized ErTm4As5 structure, with properties calculated at the GGA-PBE level.

```
data_ErTm4As5
_cell_length_a 9.095
_cell_length_b 9.095
_cell_length_c 5.752
_cell_angle_alpha 90.00
_cell_angle_beta 90.00
_cell_angle_gamma 90.00
_space_group_name_H-M_alt 'I 4/m'
_space_group_IT_number 87
_space_group_name_Hall '-I 4'
loop_
_atom_site_label
_atom_site_type_symbol
_atom_site_fract_x
_atom_site_fract_y
_atom_site_fract_z
Er1 Er 0.000 0.000 0.000
Tm1 Tm 0.100 0.300 0.500
As1 As 0.000 0.000 0.500
As2 As 0.100 0.301 0.000
```

Calculated density: 8.50 g cm⁻³
Size of the total moment: 0.00 μB/atom
Crystal system: tetragonal
Formation enthalpy at 0 K: -1.510 eV/atom

=====

5.
Below is a geometry-optimized MgGe2Cl structure, with properties calculated at the GGA-PBE level.

```
data_MgGe2Cl
_cell_length_a 3.762
_cell_length_b 3.762
_cell_length_c 24.091
_cell_angle_alpha 90.00
_cell_angle_beta 90.00
_cell_angle_gamma 90.00
_space_group_name_H-M_alt 'I -4 2 d'
_space_group_IT_number 122
_space_group_name_Hall 'I -4 2bw'
loop_
_atom_site_label
_atom_site_type_symbol
_atom_site_fract_x
_atom_site_fract_y
_atom_site_fract_z
Mg1 Mg 0.000 0.000 0.000
Ge1 Ge 0.226 0.250 0.125
Cl1 Cl 0.000 0.000 0.500
```

Calculated density: 3.99 g cm⁻³
Size of the total moment: 0.00 μB/atom
E: -54.5 eV for the cell shown
Crystal system: tetragonal

=====

6.
Below is a geometry-optimized Nd3Y5S12 structure, with properties calculated at the GGA-PBE level.

```
data_Nd3Y5S12
_cell_length_a 16.285
_cell_length_b 16.285
_cell_length_c 16.285
_cell_angle_alpha 90.00
_cell_angle_beta 90.00
_cell_angle_gamma 90.00
_space_group_name_H-M_alt 'I a -3 d'
_space_group_IT_number 230
_space_group_name_Hall '-I 4bd 2c 3'
loop_
_atom_site_label
_atom_site_type_symbol
_atom_site_fract_x
_atom_site_fract_y
_atom_site_fract_z
Nd1 Nd 0.000 0.250 0.125
Y1 Y 0.000 0.000 0.000
Y2 Y 0.000 0.250 0.375
S1 S 0.022 0.068 0.652
```

Calculated density: 3.88 g cm⁻³
Size of the total moment: 0.00 μB/atom
E: -1075.2 eV for the cell shown
Crystal system: cubic